A relaxed HfZnP3 crystal, computed with GGA-PBE.

Computed properties:
Density of states at the Fermi level   4.230 states/eV per cell
Volume   24.50 Å³/atom
Calculated density   4.566 Mg/m³
E_tot   -5.035 eV per atom
DFT formation energy   0.456 eV/atom

a = 4.966 Å, b = 4.966 Å, c = 4.966 Å
α = 90.00°, β = 90.00°, γ = 90.00°
Space group Pm-3m (No. 221)
Asymmetric unit:
Hf1 0.000 0.000 0.000 x1
Zn1 0.500 0.500 0.500 x1
P1 0.000 0.000 0.500 x3